1.
Entry from the Alexandria database: KEuHg2 after structural relaxation (PBE).

Cell: 9.475 9.475 9.475 Å, 26.56 26.56 26.56°
Element x y z (fractional)
K1 0.000 0.000 0.000
Eu1 0.500 0.500 0.500
Hg1 0.242 0.242 0.242
Hg2 0.758 0.758 0.758

E_form	-0.24	eV/atom
space-group type	R-3m


2.
Entry from the Alexandria database: KEuHg4 after structural relaxation (PBE).

Cell: 6.253 6.253 6.253 Å, 60.00 60.00 60.00°
Element x y z (fractional)
K1 0.000 0.000 0.000
Eu1 0.750 0.750 0.750
Hg1 0.375 0.375 0.375
Hg2 0.375 0.375 0.875
Hg3 0.375 0.875 0.375
Hg4 0.875 0.375 0.375

E_form	-0.23	eV/atom
space-group type	F-43m


3.
Entry from the Alexandria database: KEu3Hg after structural relaxation (PBE).

Cell: 6.275 6.275 6.275 Å, 90.00 90.00 90.00°
Element x y z (fractional)
K1 0.000 0.000 0.000
Eu1 0.000 0.500 0.500
Eu2 0.500 0.000 0.500
Eu3 0.500 0.500 0.000
Hg1 0.500 0.500 0.500

E_form	-0.06	eV/atom
space-group type	Pm-3m


4.
Entry from the Alexandria database: KEuHgSb after structural relaxation (PBE).

Cell: 5.674 5.674 5.674 Å, 60.00 60.00 60.00°
Element x y z (fractional)
K1 0.000 0.000 0.000
Eu1 0.500 0.500 0.500
Hg1 0.250 0.250 0.250
Sb1 0.750 0.750 0.750

uncorrected formation energy	-0.606	eV/atom
space-group type	F-43m


5.
Entry from the Alexandria database: KEuSnHg after structural relaxation (PBE).

Cell: 5.661 5.661 5.661 Å, 60.00 60.00 60.00°
Element x y z (fractional)
K1 0.000 0.000 0.000
Eu1 0.500 0.500 0.500
Sn1 0.250 0.250 0.250
Hg1 0.750 0.750 0.750

E_form	-0.32	eV/atom
space-group type	F-43m


6.
Entry from the Alexandria database: KEuZnHg after structural relaxation (PBE).

Cell: 5.597 5.597 5.597 Å, 60.00 60.00 60.00°
Element x y z (fractional)
K1 0.000 0.000 0.000
Eu1 0.500 0.500 0.500
Zn1 0.750 0.750 0.750
Hg1 0.250 0.250 0.250

E_form	-0.10	eV/atom
space-group type	F-43m


7.
Entry from the Alexandria database: LaEuHg after structural relaxation (PBE).

Cell: 7.092 7.092 7.092 Å, 147.97 147.97 45.94°
Element x y z (fractional)
La1 0.000 0.000 0.000
Eu1 0.712 0.712 0.000
Hg1 0.358 0.358 0.000

E_form	-0.32	eV/atom
space-group type	I4mm


8.
Entry from the Alexandria database: LaEuHg2 after structural relaxation (PBE).

Cell: 3.894 3.894 7.849 Å, 90.00 90.00 90.00°
Element x y z (fractional)
La1 0.000 0.000 0.000
Eu1 0.000 0.000 0.500
Hg1 0.500 0.500 0.248
Hg2 0.500 0.500 0.752

E_form	-0.53	eV/atom
space-group type	P4/mmm


9.
Entry from the Alexandria database: LaEuHg after structural relaxation (PBE).

Cell: 5.328 5.328 3.883 Å, 90.00 90.00 120.00°
Element x y z (fractional)
La1 0.000 0.000 0.000
Eu1 0.667 0.333 0.421
Hg1 0.333 0.667 0.700

E_form	-0.21	eV/atom
space-group type	P3m1


10.
Entry from the Alexandria database: LaEuHg after structural relaxation (PBE).

Cell: 5.380 5.380 5.380 Å, 60.00 60.00 60.00°
Element x y z (fractional)
La1 0.000 0.000 0.000
Eu1 0.500 0.500 0.500
Hg1 0.750 0.750 0.750

E_form	-0.18	eV/atom
space-group type	F-43m


11.
Entry from the Alexandria database: LaEuHg2 after structural relaxation (PBE).

Cell: 5.512 5.512 5.512 Å, 60.00 60.00 60.00°
Element x y z (fractional)
La1 0.000 0.000 0.000
Eu1 0.500 0.500 0.500
Hg1 0.250 0.250 0.250
Hg2 0.750 0.750 0.750

E_form	-0.53	eV/atom
space-group type	Fm-3m


12.
Entry from the Alexandria database: LiLaEuHg after structural relaxation (PBE).

Cell: 5.509 5.509 5.509 Å, 60.00 60.00 60.00°
Element x y z (fractional)
Li1 0.000 0.000 0.000
La1 0.250 0.250 0.250
Eu1 0.750 0.750 0.750
Hg1 0.500 0.500 0.500

E_form	-0.23	eV/atom
space-group type	F-43m